# 1
Material: Ce3NdY2Sb6
Method: DFT, PBE
State: optimized geometry

Structure (CIF):
```
data_Ce3NdY2Sb6
_chemical_formula_sum 'Ce3 Nd1 Y2 Sb6'
_cell_length_a 7.742
_cell_length_b 7.742
_cell_length_c 7.741
_cell_angle_alpha 99.60
_cell_angle_beta 99.60
_cell_angle_gamma 120.00
_space_group_name_H-M_alt 'P 1'
_space_group_IT_number 1
_space_group_name_Hall 'P 1'
loop_
_atom_site_label
_atom_site_type_symbol
_atom_site_fract_x
_atom_site_fract_y
_atom_site_fract_z
Ce1 Ce 0.000 0.000 0.000
Ce2 Ce 0.335 0.665 0.000
Ce3 Ce 0.665 0.335 0.000
Nd1 Nd 0.500 0.500 0.500
Y1 Y 0.167 0.833 0.500
Y2 Y 0.833 0.167 0.500
Sb1 Sb 0.079 0.417 0.252
Sb2 Sb 0.244 0.244 0.746
Sb3 Sb 0.417 0.079 0.252
Sb4 Sb 0.583 0.921 0.748
Sb5 Sb 0.756 0.756 0.254
Sb6 Sb 0.921 0.583 0.748
```

Computed properties:
Final energy = -6.128 eV per atom
SG = No. 12
DOS at the Fermi energy = 20.26 states/eV/f.u.
Crystal system = monoclinic

***

# 2
Material: La6Si2NiBr3
Method: DFT, PBE
State: optimized geometry

Structure (CIF):
```
data_La6Si2NiBr3
_chemical_formula_sum 'La6 Si2 Ni1 Br3'
_cell_length_a 9.775
_cell_length_b 9.775
_cell_length_c 9.022
_cell_angle_alpha 104.78
_cell_angle_beta 104.78
_cell_angle_gamma 25.63
_space_group_name_H-M_alt 'P 1'
_space_group_IT_number 1
_space_group_name_Hall 'P 1'
loop_
_atom_site_label
_atom_site_type_symbol
_atom_site_fract_x
_atom_site_fract_y
_atom_site_fract_z
La1 La 0.003 0.003 0.232
La2 La 0.326 0.326 0.430
La3 La 0.355 0.355 0.900
La4 La 0.645 0.645 0.100
La5 La 0.674 0.674 0.570
La6 La 0.997 0.997 0.768
Si1 Si 0.162 0.162 0.338
Si2 Si 0.838 0.838 0.662
Ni1 Ni 0.500 0.500 0.000
Br1 Br 0.176 0.176 0.843
Br2 Br 0.500 0.500 0.500
Br3 Br 0.824 0.824 0.157
```

Computed properties:
Final energy = -5.297 eV per atom
SG = No. 12
DOS at the Fermi energy = 8.41 states/eV/f.u.
Crystal system = monoclinic

***

# 3
Material: KAsRh2
Method: DFT, PBE
State: optimized geometry

Structure (CIF):
```
data_KAsRh2
_chemical_formula_sum 'K2 As2 Rh4'
_cell_length_a 6.232
_cell_length_b 6.232
_cell_length_c 6.232
_cell_angle_alpha 105.54
_cell_angle_beta 105.54
_cell_angle_gamma 117.65
_space_group_name_H-M_alt 'P 1'
_space_group_IT_number 1
_space_group_name_Hall 'P 1'
loop_
_atom_site_label
_atom_site_type_symbol
_atom_site_fract_x
_atom_site_fract_y
_atom_site_fract_z
K1 K 0.000 0.000 0.000
K2 K 0.750 0.250 0.500
As1 As 0.250 0.750 0.500
As2 As 0.500 0.500 0.000
Rh1 Rh 0.231 0.625 0.106
Rh2 Rh 0.375 0.481 0.606
Rh3 Rh 0.519 0.125 0.894
Rh4 Rh 0.875 0.769 0.394
```

Computed properties:
Energy relative to the elements = 0.138 eV per atom
Final energy = -4.975 eV per atom
SG = No. 122
DOS at the Fermi energy = 0.98 states/eV/f.u.
Crystal system = tetragonal

***

# 4
Material: YCdPtO4
Method: DFT, PBE
State: optimized geometry

Structure (CIF):
```
data_YCdPtO4
_chemical_formula_sum 'Y2 Cd2 Pt2 O8'
_cell_length_a 6.434
_cell_length_b 6.434
_cell_length_c 6.434
_cell_angle_alpha 115.38
_cell_angle_beta 113.13
_cell_angle_gamma 100.29
_space_group_name_H-M_alt 'P 1'
_space_group_IT_number 1
_space_group_name_Hall 'P 1'
loop_
_atom_site_label
_atom_site_type_symbol
_atom_site_fract_x
_atom_site_fract_y
_atom_site_fract_z
Y1 Y 0.500 0.000 0.000
Y2 Y 0.500 0.500 0.500
Cd1 Cd 0.099 0.349 0.750
Cd2 Cd 0.901 0.651 0.250
Pt1 Pt 0.000 0.000 0.000
Pt2 Pt 0.500 0.000 0.500
O1 O 0.224 0.167 0.442
O2 O 0.224 0.782 0.058
O3 O 0.289 0.250 0.040
O4 O 0.290 0.750 0.540
O5 O 0.710 0.250 0.460
O6 O 0.711 0.750 0.960
O7 O 0.776 0.218 0.942
O8 O 0.776 0.833 0.558
```

Computed properties:
Final energy = -6.340 eV per atom
SG = No. 74
DOS at the Fermi energy = 2.10 states/eV/f.u.
Crystal system = orthorhombic

***

# 5
Material: AcY7Ho4
Method: DFT, PBE
State: optimized geometry

Structure (CIF):
```
data_AcY7Ho4
_chemical_formula_sum 'Ac1 Y7 Ho4'
_cell_length_a 6.848
_cell_length_b 6.848
_cell_length_c 12.577
_cell_angle_alpha 115.10
_cell_angle_beta 115.10
_cell_angle_gamma 52.47
_space_group_name_H-M_alt 'P 1'
_space_group_IT_number 1
_space_group_name_Hall 'P 1'
loop_
_atom_site_label
_atom_site_type_symbol
_atom_site_fract_x
_atom_site_fract_y
_atom_site_fract_z
Ac1 Ac 0.000 0.000 0.000
Y1 Y 0.045 0.045 0.356
Y2 Y 0.215 0.215 0.918
Y3 Y 0.361 0.361 0.485
Y4 Y 0.500 0.500 0.000
Y5 Y 0.639 0.639 0.515
Y6 Y 0.785 0.785 0.082
Y7 Y 0.955 0.955 0.644
Ho1 Ho 0.269 0.269 0.690
Ho2 Ho 0.377 0.377 0.225
Ho3 Ho 0.623 0.623 0.775
Ho4 Ho 0.731 0.731 0.310
```

Computed properties:
Energy relative to the elements = 0.321 eV per atom
Final energy = -5.318 eV per atom
SG = No. 12
DOS at the Fermi energy = 22.82 states/eV/f.u.
Energy relative to the lowest polymorph listed for this composition = 309 meV per atom
Crystal system = monoclinic

***

# 6
Material: Ca2LuTl
Method: DFT, PBE
State: optimized geometry

Structure (CIF):
```
data_Ca2LuTl
_chemical_formula_sum 'Ca2 Lu1 Tl1'
_cell_length_a 12.622
_cell_length_b 12.622
_cell_length_c 12.622
_cell_angle_alpha 16.59
_cell_angle_beta 16.59
_cell_angle_gamma 16.59
_space_group_name_H-M_alt 'P 1'
_space_group_IT_number 1
_space_group_name_Hall 'P 1'
loop_
_atom_site_label
_atom_site_type_symbol
_atom_site_fract_x
_atom_site_fract_y
_atom_site_fract_z
Ca1 Ca 0.087 0.087 0.087
Ca2 Ca 0.913 0.913 0.913
Lu1 Lu 0.500 0.500 0.500
Tl1 Tl 0.000 0.000 0.000
```

Computed properties:
Energy relative to the elements = 0.111 eV per atom
Final energy = -2.611 eV per atom
SG = No. 166
DOS at the Fermi energy = 4.65 states/eV/f.u.
Energy relative to the lowest polymorph listed for this composition = 253 meV per atom
Crystal system = trigonal

***

# 7
Material: ErScTlRu
Method: DFT, PBE
State: optimized geometry

Structure (CIF):
```
data_ErScTlRu
_chemical_formula_sum 'Er1 Sc1 Tl1 Ru1'
_cell_length_a 4.925
_cell_length_b 4.925
_cell_length_c 4.925
_cell_angle_alpha 60.00
_cell_angle_beta 60.00
_cell_angle_gamma 60.00
_space_group_name_H-M_alt 'P 1'
_space_group_IT_number 1
_space_group_name_Hall 'P 1'
loop_
_atom_site_label
_atom_site_type_symbol
_atom_site_fract_x
_atom_site_fract_y
_atom_site_fract_z
Er1 Er 0.000 0.000 0.000
Sc1 Sc 0.500 0.500 0.500
Tl1 Tl 0.750 0.750 0.750
Ru1 Ru 0.250 0.250 0.250
```

Computed properties:
Energy relative to the elements = -0.280 eV per atom
Final energy = -5.914 eV per atom
SG = No. 216
DOS at the Fermi energy = 2.94 states/eV/f.u.
Energy relative to the lowest polymorph listed for this composition = 184 meV per atom
Crystal system = cubic

***

# 8
Material: SrCaAs2
Method: DFT, PBE
State: optimized geometry

Structure (CIF):
```
data_SrCaAs2
_chemical_formula_sum 'Sr1 Ca1 As2'
_cell_length_a 3.940
_cell_length_b 3.940
_cell_length_c 6.612
_cell_angle_alpha 90.00
_cell_angle_beta 90.00
_cell_angle_gamma 90.00
_space_group_name_H-M_alt 'P 1'
_space_group_IT_number 1
_space_group_name_Hall 'P 1'
loop_
_atom_site_label
_atom_site_type_symbol
_atom_site_fract_x
_atom_site_fract_y
_atom_site_fract_z
Sr1 Sr 0.000 0.000 0.000
Ca1 Ca 0.000 0.000 0.500
As1 As 0.500 0.500 0.286
As2 As 0.500 0.500 0.714
```

Computed properties:
Energy relative to the elements = -0.905 eV per atom
Final energy = -4.150 eV per atom
SG = No. 123
DOS at the Fermi energy = 1.94 states/eV/f.u.
Energy relative to the lowest polymorph listed for this composition = 66 meV per atom
Crystal system = tetragonal

***

# 9
Material: BeZnH2N
Method: DFT, PBE
State: optimized geometry

Structure (CIF):
```
data_BeZnH2N
_chemical_formula_sum 'Be1 Zn1 H2 N1'
_cell_length_a 3.763
_cell_length_b 3.763
_cell_length_c 3.104
_cell_angle_alpha 90.00
_cell_angle_beta 90.00
_cell_angle_gamma 90.00
_space_group_name_H-M_alt 'P 1'
_space_group_IT_number 1
_space_group_name_Hall 'P 1'
loop_
_atom_site_label
_atom_site_type_symbol
_atom_site_fract_x
_atom_site_fract_y
_atom_site_fract_z
Be1 Be 0.000 0.000 0.000
Zn1 Zn 0.500 0.500 0.000
H1 H 0.000 0.500 0.500
H2 H 0.500 0.000 0.500
N1 N 0.000 0.000 0.500
```

Computed properties:
Final energy = -3.267 eV per atom
SG = No. 123
DOS at the Fermi energy = 1.46 states/eV/f.u.
Crystal system = tetragonal

***

Question: Which value of DOS at the Fermi energy does entry 5 give?
Answer: 22.82 states/eV/f.u.